# VCrBrO4 PBE with a Hubbard U optimized geometry
data_VCrBrO4
_cell_length_a 5.5653
_cell_length_b 5.5653
_cell_length_c 9.1018
_cell_angle_alpha 113.06
_cell_angle_beta 113.06
_cell_angle_gamma 71.90
_space_group_name_H-M_alt 'P 1'
_space_group_IT_number 1
loop_
_space_group_symop_operation_xyz
'x,y,z'
loop_
_atom_site_label
_atom_site_fract_x
_atom_site_fract_y
_atom_site_fract_z
V1 0.2007 0.2007 0.3301
V2 0.7993 0.7993 0.6699
Cr1 0.4545 0.4545 0.7640
Cr2 0.5455 0.5455 0.2360
Br1 0.2887 0.2887 0.9390
Br2 0.7113 0.7113 0.0610
O1 0.1400 0.7103 0.7713
O2 0.2565 0.2565 0.5390
O3 0.2897 0.8600 0.2287
O4 0.3830 0.3830 0.3099
O5 0.6170 0.6170 0.6901
O6 0.7103 0.1400 0.7713
O7 0.7435 0.7435 0.4610
O8 0.8600 0.2897 0.2287
# Uncorrected energy (eV per cell): -93.0